# 1
This record from Alexandria describes a relaxed Nb14RhW crystal. The functional is PBE-GGA.

Computed properties:
The calculation puts the density at 9.2 g cm⁻³. As for the total energy: -325.4 eV/cell. The total magnetic moment comes out at 0.00 μB/f.u.

a = 6.570 Å, b = 9.432 Å, c = 9.218 Å
α = 90.00°, β = 90.00°, γ = 90.00°
Space group Cmmm (No. 65)
One atom of each set of equivalent atoms:
Nb 0.000 0.000 0.000 x2
Nb 0.000 0.250 0.253 x8
Nb 0.000 0.500 0.000 x2
Nb 0.248 0.000 0.257 x8
Nb 0.250 0.250 0.000 x4
Nb 0.250 0.250 0.500 x4
Rh 0.000 0.500 0.500 x2
W 0.000 0.000 0.500 x2

# 2
This record from Alexandria describes a relaxed Nb2Rh9W crystal. The functional is PBE-GGA.

Computed properties:
The calculation puts the density at 12.2 g cm⁻³. As for the total energy: -104.4 eV/cell. The total magnetic moment comes out at 0.00 μB/f.u.

a = 3.892 Å, b = 3.892 Å, c = 11.679 Å
α = 90.00°, β = 90.00°, γ = 90.00°
Space group P4/mmm (No. 123)
One atom of each set of equivalent atoms:
Nb 0.000 0.000 0.166 x2
Rh 0.000 0.500 0.000 x2
Rh 0.000 0.500 0.338 x4
Rh 0.500 0.500 0.169 x2
Rh 0.500 0.500 0.500 x1
W 0.000 0.000 0.500 x1